A plane-wave DFT calculation with PBE was carried out for CaPr3Ga2 after structural relaxation.

## Properties
- space group = Pmc2_1 (26)
- spin magnetization (μB per formula unit) = 0.00
- uncorrected energy (eV per atom) = -4.12
- DFT formation energy (eV/atom) = -0.39

Cell lengths 5.282, 6.842, 9.535 Å; angles 90.00, 90.00, 90.00 degrees
Element x y z (fractional)
1 Ca 0.500 0.511 0.541
2 Ca 0.500 0.011 0.459
3 Pr 0.000 0.493 0.959
4 Pr 0.000 0.993 0.041
5 Pr 0.500 0.700 0.174
6 Pr 0.500 0.200 0.826
7 Pr 0.000 0.298 0.334
8 Pr 0.000 0.798 0.666
9 Ga 0.500 0.727 0.844
10 Ga 0.500 0.227 0.156
11 Ga 0.000 0.270 0.657
12 Ga 0.000 0.770 0.343

A plane-wave DFT calculation with PBE was carried out for KMg2Nb after structural relaxation.

## Properties
- space group = Fm-3m (225)
- spin magnetization (μB per formula unit) = 3.22
- uncorrected energy (eV per atom) = -2.71
- DFT formation energy (eV/atom) = 0.88

Cell lengths 5.342, 5.342, 5.342 Å; angles 60.00, 60.00, 60.00 degrees
Each line ends with the local moment (μB).
Element x y z (fractional)
1 Mg 0.250 0.250 0.250  -0.01
2 Mg 0.750 0.750 0.750  -0.01
3 Nb 0.500 0.500 0.500  2.31
4 K 0.000 0.000 0.000  0.02

A plane-wave DFT calculation with PBE was carried out for SnB2Cl8 after structural relaxation.

## Properties
- space group = C2/c (15)
- spin magnetization (μB per formula unit) = 0.00
- uncorrected energy (eV per atom) = -3.86
- energy relative to the elements, uncorrected (meV/atom) = -939

Cell lengths 9.459, 9.997, 10.171 Å; angles 56.11, 62.29, 61.77 degrees
Element x y z (fractional)
1 Sn 0.032 0.750 0.250
2 Sn 0.968 0.250 0.750
3 B 0.858 0.866 0.933
4 B 0.343 0.366 0.433
5 B 0.657 0.634 0.567
6 B 0.142 0.134 0.067
7 Cl 0.467 0.720 0.514
8 Cl 0.092 0.983 0.291
9 Cl 0.781 0.995 0.055
10 Cl 0.262 0.200 0.482
11 Cl 0.219 0.005 0.945
12 Cl 0.944 0.300 0.018
13 Cl 0.738 0.800 0.518
14 Cl 0.169 0.495 0.555
15 Cl 0.056 0.700 0.982
16 Cl 0.701 0.780 0.986
17 Cl 0.634 0.483 0.791
18 Cl 0.366 0.517 0.209
19 Cl 0.299 0.220 0.014
20 Cl 0.831 0.505 0.445
21 Cl 0.533 0.280 0.486
22 Cl 0.908 0.017 0.709

A plane-wave DFT calculation with PBE was carried out for BiMoRh3 after structural relaxation.

## Properties
- space group = Pm-3m (221)
- spin magnetization (μB per formula unit) = 0.00
- uncorrected energy (eV per atom) = -6.53
- DFT formation energy (eV/atom) = 0.83

Cell lengths 4.735, 4.735, 4.735 Å; angles 90.00, 90.00, 90.00 degrees
Element x y z (fractional)
1 Mo 0.000 0.000 0.000
2 Rh 0.000 0.500 0.000
3 Rh 0.000 0.000 0.500
4 Rh 0.500 0.000 0.000
5 Bi 0.500 0.500 0.500

A plane-wave DFT calculation with PBE was carried out for Ho4TmZn2 after structural relaxation.

## Properties
- space group = R-3m (166)
- spin magnetization (μB per formula unit) = 0.00
- uncorrected energy (eV per atom) = -3.48
- DFT formation energy (eV/atom) = 0.14

Cell lengths 4.938, 4.938, 10.072 Å; angles 75.81, 75.81, 60.00 degrees
Element x y z (fractional)
1 Ho 0.398 0.398 0.806
2 Ho 0.202 0.202 0.393
3 Ho 0.798 0.798 0.607
4 Ho 0.602 0.602 0.194
5 Tm 0.000 0.000 0.000
6 Zn 0.100 0.100 0.701
7 Zn 0.900 0.900 0.299

A plane-wave DFT calculation with PBE was carried out for ZnH2Ru after structural relaxation.

## Properties
- space group = R-3m (166)
- spin magnetization (μB per formula unit) = 0.03
- uncorrected energy (eV per atom) = -4.12

Cell lengths 2.719, 2.719, 6.507 Å; angles 77.94, 77.94, 60.00 degrees
Element x y z (fractional)
1 Ru 0.500 0.500 0.500
2 Zn 0.000 0.000 0.000
3 H 0.115 0.115 0.654
4 H 0.885 0.885 0.346

A plane-wave DFT calculation with PBE was carried out for Ba3SI3 after structural relaxation.

## Properties
- space group = I4_132 (214)
- spin magnetization (μB per formula unit) = 0.00
- uncorrected energy (eV per atom) = -3.81
- energy relative to the elements, uncorrected (meV/atom) = -1733

Cell lengths 11.718, 11.718, 11.718 Å; angles 109.47, 109.47, 109.47 degrees
Element x y z (fractional)
1 Ba 0.975 0.487 0.237
2 Ba 0.513 0.025 0.263
3 Ba 0.250 0.013 0.487
4 Ba 0.987 0.750 0.013
5 Ba 0.987 0.237 0.475
6 Ba 0.763 0.013 0.025
7 Ba 0.737 0.475 0.487
8 Ba 0.763 0.750 0.237
9 Ba 0.525 0.263 0.013
10 Ba 0.250 0.237 0.263
11 Ba 0.737 0.263 0.750
12 Ba 0.513 0.487 0.750
13 S 0.750 0.500 0.000
14 S 0.500 0.250 0.500
15 S 0.750 0.250 0.250
16 S 0.000 0.000 0.250
17 I 0.244 0.994 0.988
18 I 0.750 0.756 0.744
19 I 0.488 0.744 0.994
20 I 0.006 0.250 0.994
21 I 0.256 0.744 0.250
22 I 0.494 0.506 0.250
23 I 0.244 0.250 0.756
24 I 0.256 0.512 0.506
25 I 0.750 0.994 0.506
26 I 0.012 0.506 0.756
27 I 0.006 0.756 0.512
28 I 0.494 0.988 0.744

A plane-wave DFT calculation with PBE was carried out for SmInAg4 after structural relaxation.

## Properties
- space group = F-43m (216)
- spin magnetization (μB per formula unit) = 0.00
- uncorrected energy (eV per atom) = -3.38
- DFT formation energy (eV/atom) = -0.23

Cell lengths 5.630, 5.630, 5.630 Å; angles 60.00, 60.00, 60.00 degrees
Element x y z (fractional)
1 Ag 0.625 0.625 0.125
2 Ag 0.625 0.125 0.625
3 Ag 0.625 0.625 0.625
4 Ag 0.125 0.625 0.625
5 Sm 0.250 0.250 0.250
6 In 0.000 0.000 0.000

Among the records above, which one has the lowest uncorrected energy?
BiMoRh3